No. 1
Compound: K2CeCuBr6
Source: the Alexandria database
Functional: GGA-PBE
Structure: optimized geometry

Raw formation energy ... -1.411 eV/atom

Unit cell a=11.121 b=11.121 c=11.121 alpha=90.00 beta=90.00 gamma=90.00
Space group Fm-3m (No. 225)
Unique sites:
K  0.250  0.250  0.250 (multiplicity 8)
Ce  0.000  0.000  0.000 (multiplicity 4)
Cu  0.000  0.000  0.500 (multiplicity 4)
Br  0.000  0.000  0.260 (multiplicity 24)



No. 2
Compound: Ce8Th3Pa
Source: the Alexandria database
Functional: GGA-PBE
Structure: optimized geometry

ΔH_f (0 K) ... 518 meV/atom

Unit cell a=8.402 b=8.402 c=10.516 alpha=90.00 beta=90.00 gamma=90.00
Space group I-42m (No. 121)
Unique sites:
Ce  0.123  0.123  0.238 (multiplicity 8)
Ce  0.237  0.237  0.997 (multiplicity 8)
Th  0.000  0.000  0.500 (multiplicity 2)
Th  0.000  0.500  0.250 (multiplicity 4)
Pa  0.000  0.000  0.000 (multiplicity 2)



No. 3
Compound: CoReB3
Source: the Alexandria database
Functional: GGA-PBE
Structure: optimized geometry

ΔH_f (0 K) ... 1321 meV/atom

Unit cell a=4.064 b=4.064 c=4.064 alpha=90.00 beta=90.00 gamma=90.00
Space group Pm-3m (No. 221)
Unique sites:
Co  0.000  0.000  0.000 (multiplicity 1)
Re  0.500  0.500  0.500 (multiplicity 1)
B  0.000  0.500  0.500 (multiplicity 3)



No. 4
Compound: ZrTlCo
Source: the Alexandria database
Functional: GGA-PBE
Structure: optimized geometry

ΔH_f (0 K) ... 131 meV/atom

Unit cell a=4.5366 b=4.5366 c=3.1210 alpha=90.00 beta=90.00 gamma=120.00
Space group P-6m2 (No. 187)
Unique sites:
Zr  0.0000  0.0000  0.0000 (multiplicity 1)
Tl  0.3333  0.6667  0.5000 (multiplicity 1)
Co  0.6667  0.3333  0.5000 (multiplicity 1)



No. 5
Compound: TmPdPt
Source: the Alexandria database
Functional: GGA-PBE
Structure: optimized geometry

ΔH_f (0 K) ... -785 meV/atom

Unit cell a=3.829 b=3.984 c=4.174 alpha=90.00 beta=90.00 gamma=90.00
Space group Pmmm (No. 47)
Unique sites:
Tm  0.000  0.000  0.000 (multiplicity 1)
Pd  0.000  0.500  0.500 (multiplicity 1)
Pt  0.500  0.000  0.500 (multiplicity 1)



No. 6
Compound: U2GaPt5
Source: the Alexandria database
Functional: GGA-PBE
Structure: optimized geometry

ΔH_f (0 K) ... -566 meV/atom

Unit cell a=5.789 b=5.905 c=5.910 alpha=67.31 beta=60.90 gamma=60.79
Space group P1 (No. 1)
Unique sites:
U  0.000  0.000  0.000 (multiplicity 1)
U  0.466  0.536  0.534 (multiplicity 1)
Ga  0.618  0.882  0.881 (multiplicity 1)
Pt  0.000  0.045  0.474 (multiplicity 1)
Pt  0.000  0.474  0.043 (multiplicity 1)
Pt  0.481  0.045  0.473 (multiplicity 1)
Pt  0.482  0.474  0.044 (multiplicity 1)
Pt  0.975  0.527  0.525 (multiplicity 1)



No. 7
Compound: TbY2Os
Source: the Alexandria database
Functional: GGA-PBE
Structure: optimized geometry

ΔH_f (0 K) ... -215 meV/atom

Unit cell a=3.971 b=11.984 c=9.087 alpha=90.00 beta=90.00 gamma=90.00
Space group Cmcm (No. 63)
Unique sites:
Tb  0.000  0.077  0.250 (multiplicity 4)
Y  0.000  0.355  0.066 (multiplicity 8)
Os  0.000  0.259  0.750 (multiplicity 4)



No. 8
Compound: Hf2Pd
Source: the Alexandria database
Functional: GGA-PBE
Structure: optimized geometry

ΔH_f (0 K) ... -441 meV/atom

Unit cell a=12.441 b=12.441 c=12.441 alpha=90.00 beta=90.00 gamma=90.00
Space group Fd-3m (No. 227, origin choice 2)
Unique sites:
Hf  0.000  0.000  0.000 (multiplicity 16)
Hf  0.061  0.375  0.875 (multiplicity 48)
Pd  0.032  0.032  0.218 (multiplicity 32)



No. 9
Compound: PmNi3Ge
Source: the Alexandria database
Functional: GGA-PBE
Structure: optimized geometry

ΔH_f (0 K) ... -114 meV/atom

Unit cell a=4.443 b=4.443 c=4.443 alpha=90.00 beta=90.00 gamma=90.00
Space group Pm-3m (No. 221)
Unique sites:
Pm  0.000  0.000  0.000 (multiplicity 1)
Ni  0.000  0.500  0.500 (multiplicity 3)
Ge  0.500  0.500  0.500 (multiplicity 1)



No. 10
Compound: CeZrGa6
Source: the Alexandria database
Functional: GGA-PBE
Structure: optimized geometry

ΔH_f (0 K) ... -506 meV/atom

Unit cell a=4.233 b=4.233 c=8.443 alpha=90.00 beta=90.00 gamma=90.00
Space group P4/mmm (No. 123)
Unique sites:
Ce  0.000  0.000  0.000 (multiplicity 1)
Zr  0.000  0.000  0.500 (multiplicity 1)
Ga  0.000  0.500  0.258 (multiplicity 4)
Ga  0.500  0.500  0.000 (multiplicity 1)
Ga  0.500  0.500  0.500 (multiplicity 1)



No. 11
Compound: TaCd2P
Source: the Alexandria database
Functional: GGA-PBE
Structure: optimized geometry

ΔH_f (0 K) ... 536 meV/atom

Unit cell a=6.667 b=6.667 c=6.667 alpha=90.00 beta=90.00 gamma=90.00
Space group F-43m (No. 216)
Unique sites:
Ta  0.000  0.000  0.000 (multiplicity 4)
Cd  0.000  0.000  0.500 (multiplicity 4)
Cd  0.250  0.250  0.750 (multiplicity 4)
P  0.250  0.250  0.250 (multiplicity 4)



No. 12
Compound: Na2Re2F
Source: the Alexandria database
Functional: GGA-PBE
Structure: optimized geometry

Raw formation energy ... -0.229 eV/atom

Unit cell a=3.460 b=3.460 c=16.996 alpha=90.00 beta=90.00 gamma=90.00
Space group I4/mmm (No. 139)
Unique sites:
Na  0.000  0.000  0.084 (multiplicity 4)
Re  0.000  0.500  0.250 (multiplicity 4)
F  0.000  0.000  0.500 (multiplicity 2)



no.,E_tot (eV/cell)
1,-145.48
2,-146.02
3,-32.98
4,-17.63
5,-18.06
6,-60.33
7,-118.59
8,-845.51
9,-27.28
10,-36.69
11,-67.79
12,-61.10